(1)
# Rb2NpSnS6 | Alexandria via LeMat-Bulk | PBE | relaxed
# E_form (uncorrected) (eV per atom): -0.82
data_Rb2NpSnS6
_chemical_formula_sum 'Rb6 Np3 Sn3 S18'
_cell_length_a 7.2564
_cell_length_b 7.2564
_cell_length_c 17.6444
_cell_angle_alpha 90.00
_cell_angle_beta 90.00
_cell_angle_gamma 120.00
_space_group_name_H-M_alt 'R -3'
_space_group_IT_number 148
_space_group_name_Hall '-R 3'
loop_
_atom_site_label
_atom_site_type_symbol
_atom_site_fract_x
_atom_site_fract_y
_atom_site_fract_z
_atom_site_occupancy
Rb1 Rb 0.0000 0.0000 0.2504 1
Np1 Np 0.0000 0.0000 0.0000 1
Sn1 Sn 0.0000 0.0000 0.5000 1
S1 S 0.0032 0.4753 0.7496 1

(2)
# La4Mo | Alexandria via LeMat-Bulk | PBE | relaxed
# ΔE_f (eV per atom): 0.297
data_La4Mo
_chemical_formula_sum 'La4 Mo1'
_cell_length_a 5.6392
_cell_length_b 5.6392
_cell_length_c 5.6392
_cell_angle_alpha 90.00
_cell_angle_beta 90.00
_cell_angle_gamma 90.00
_space_group_name_H-M_alt 'P m -3 m'
_space_group_IT_number 221
_space_group_name_Hall '-P 4 2 3'
loop_
_atom_site_label
_atom_site_type_symbol
_atom_site_fract_x
_atom_site_fract_y
_atom_site_fract_z
_atom_site_occupancy
La1 La 0.0000 0.0000 0.0000 1
La2 La 0.0000 0.5000 0.5000 1
Mo1 Mo 0.5000 0.5000 0.5000 1

(3)
# MgScPd | Alexandria via LeMat-Bulk | PBE | relaxed
# ΔE_f (eV per atom): -0.440
data_MgScPd
_chemical_formula_sum 'Mg1 Sc1 Pd1'
_cell_length_a 4.5937
_cell_length_b 4.5937
_cell_length_c 3.1458
_cell_angle_alpha 90.00
_cell_angle_beta 90.00
_cell_angle_gamma 120.00
_space_group_name_H-M_alt 'P 3 m 1'
_space_group_IT_number 156
_space_group_name_Hall 'P 3 -2"'
loop_
_atom_site_label
_atom_site_type_symbol
_atom_site_fract_x
_atom_site_fract_y
_atom_site_fract_z
_atom_site_occupancy
Mg1 Mg 0.0000 0.0000 0.0000 1
Sc1 Sc 0.6667 0.3333 0.5086 1
Pd1 Pd 0.3333 0.6667 0.0322 1

(4)
# La2PuZn | Alexandria via LeMat-Bulk | PBE | relaxed
# Relative energy among the computed polymorphs (eV per atom): 0.000
# ΔE_f (eV per atom): -0.051
data_La2PuZn
_chemical_formula_sum 'La2 Pu1 Zn1'
_cell_length_a 3.6905
_cell_length_b 3.6905
_cell_length_c 8.6492
_cell_angle_alpha 90.00
_cell_angle_beta 90.00
_cell_angle_gamma 90.00
_space_group_name_H-M_alt 'P 4/m m m'
_space_group_IT_number 123
_space_group_name_Hall '-P 4 2'
loop_
_atom_site_label
_atom_site_type_symbol
_atom_site_fract_x
_atom_site_fract_y
_atom_site_fract_z
_atom_site_occupancy
La1 La 0.0000 0.0000 0.2187 1
Pu1 Pu 0.5000 0.5000 0.5000 1
Zn1 Zn 0.5000 0.5000 0.0000 1

(5)
# PmTm3Rh | Alexandria via LeMat-Bulk | PBE | relaxed
# Relative energy among the computed polymorphs (eV per atom): 0.000
# ΔE_f (eV per atom): -0.359
data_PmTm3Rh
_chemical_formula_sum 'Pm4 Tm12 Rh4'
_cell_length_a 11.6144
_cell_length_b 8.3747
_cell_length_c 7.9511
_cell_angle_alpha 90.00
_cell_angle_beta 131.20
_cell_angle_gamma 90.00
_space_group_name_H-M_alt 'C 1 2/m 1'
_space_group_IT_number 12
_space_group_name_Hall '-C 2y'
loop_
_atom_site_label
_atom_site_type_symbol
_atom_site_fract_x
_atom_site_fract_y
_atom_site_fract_z
_atom_site_occupancy
Pm1 Pm 0.0468 0.0000 0.3233 1
Tm1 Tm 0.0600 0.5000 0.2615 1
Tm2 Tm 0.2294 0.3001 0.7706 1
Rh1 Rh 0.2382 0.5000 0.0911 1

(6)
# Th7Sn2Ru2 | Alexandria via LeMat-Bulk | PBE | relaxed
# Relative energy among the computed polymorphs (eV per atom): 0.142
# ΔE_f (eV per atom): -0.237
data_Th7Sn2Ru2
_chemical_formula_sum 'Th14 Sn4 Ru4'
_cell_length_a 11.3948
_cell_length_b 8.3684
_cell_length_c 6.9603
_cell_angle_alpha 90.00
_cell_angle_beta 90.07
_cell_angle_gamma 90.00
_space_group_name_H-M_alt 'C 1 2/m 1'
_space_group_IT_number 12
_space_group_name_Hall '-C 2y'
loop_
_atom_site_label
_atom_site_type_symbol
_atom_site_fract_x
_atom_site_fract_y
_atom_site_fract_z
_atom_site_occupancy
Th1 Th 0.0000 0.0000 0.0000 1
Th2 Th 0.9997 0.5000 0.2404 1
Th3 Th 0.2498 0.2503 0.2603 1
Sn1 Sn 0.0000 0.1728 0.5000 1
Ru1 Ru 0.2359 0.5000 0.9994 1